*i*
## SiNi2Pt2 (PBE-GGA)

Data for a geometry-optimized SiNi2Pt2 structure.

Unit cell a=5.853 b=5.853 c=3.946 alpha=90.00 beta=90.00 gamma=90.00
Sites, in units of the cell vectors:
Ni (0.360, 0.860, 0.000)
Ni (0.860, 0.640, 0.000)
Ni (0.640, 0.140, 0.000)
Ni (0.140, 0.360, 0.000)
Si (0.000, 0.000, 0.000)
Si (0.500, 0.500, 0.000)
Pt (0.167, 0.667, 0.500)
Pt (0.667, 0.833, 0.500)
Pt (0.833, 0.333, 0.500)
Pt (0.333, 0.167, 0.500)

As for the magnetization: 0.000 μB per formula unit. The density of states at the Fermi level is 9.918 states/eV/cell. Its symmetry is No. 127. For the calculated density, the calculation gives 13.2 Mg/m³.


*ii*
## SiNi2Pt2 (PBE-GGA)

Data for a geometry-optimized SiNi2Pt2 structure.

Unit cell a=3.655 b=3.655 c=6.386 alpha=106.63 beta=106.63 gamma=90.00
Site moments in Bohr magnetons follow the coordinates.
Sites, in units of the cell vectors:
Si (0.000, 0.000, 0.000)  0.00
Ni (0.404, 0.404, 0.808)  0.60
Ni (0.596, 0.596, 0.192)  0.60
Pt (0.750, 0.250, 0.500)  0.26
Pt (0.250, 0.750, 0.500)  0.26

As for the magnetization: 1.656 μB per formula unit. The density of states at the Fermi level is 7.590 states/eV/cell. Its symmetry is No. 139. For the calculated density, the calculation gives 11.4 Mg/m³.


Short version: *i* is the most stable of them.


*i*
## SiNi3Pt (PBE-GGA)

Data for a geometry-optimized SiNi3Pt structure.

Unit cell a=4.144 b=4.144 c=4.144 alpha=90.00 beta=90.00 gamma=90.00
Sites, in units of the cell vectors:
Ni (0.000, 0.500, 0.000)
Ni (0.000, 0.000, 0.500)
Ni (0.500, 0.000, 0.000)
Si (0.000, 0.000, 0.000)
Pt (0.500, 0.500, 0.500)

As for the magnetization: 0.000 μB per formula unit. The density of states at the Fermi level is 5.178 states/eV/cell. Its symmetry is No. 221. For the calculated density, the calculation gives 9.3 Mg/m³.


*ii*
## SiNi3Pt (PBE-GGA)

Data for a geometry-optimized SiNi3Pt structure.

Unit cell a=4.416 b=4.416 c=8.386 alpha=105.27 beta=105.27 gamma=90.00
Sites, in units of the cell vectors:
Si (0.000, 0.000, 0.000)
Si (0.250, 0.750, 0.500)
Ni (0.621, 0.873, 0.745)
Ni (0.127, 0.875, 0.255)
Ni (0.127, 0.379, 0.255)
Ni (0.125, 0.873, 0.745)
Ni (0.327, 0.327, 0.654)
Ni (0.673, 0.673, 0.346)
Pt (0.577, 0.077, 0.153)
Pt (0.923, 0.423, 0.847)

As for the magnetization: 0.000 μB per formula unit. The density of states at the Fermi level is 11.081 states/eV/cell. Its symmetry is No. 119. For the calculated density, the calculation gives 8.7 Mg/m³.


*iii*
## SiNi3Pt (PBE-GGA)

Data for a geometry-optimized SiNi3Pt structure.

Unit cell a=4.573 b=4.573 c=4.573 alpha=90.00 beta=90.00 gamma=90.00
Site moments in Bohr magnetons follow the coordinates.
Sites, in units of the cell vectors:
Ni (0.000, 0.500, 0.000)  0.76
Ni (0.000, 0.000, 0.500)  1.21
Ni (0.500, 0.000, 0.000)  0.42
Si (0.500, 0.500, 0.500)  0.00
Pt (0.000, 0.000, 0.000)  0.53

As for the magnetization: 2.892 μB per formula unit. The density of states at the Fermi level is 7.352 states/eV/cell. Its symmetry is No. 221. For the calculated density, the calculation gives 6.9 Mg/m³.


*iv*
## SiNi3Pt (PBE-GGA)

Data for a geometry-optimized SiNi3Pt structure.

Unit cell a=9.295 b=4.090 c=7.709 alpha=57.96 beta=90.00 gamma=90.00
Site moments in Bohr magnetons follow the coordinates.
Sites, in units of the cell vectors:
Si (0.364, 0.432, 0.818)  0.00
Si (0.636, 0.568, 0.182)  0.00
Si (0.864, 0.568, 0.682)  0.00
Si (0.136, 0.432, 0.318)  0.00
Ni (0.993, 0.142, 0.608)  0.05
Ni (0.007, 0.858, 0.392)  0.05
Ni (0.493, 0.858, 0.892)  0.05
Ni (0.507, 0.142, 0.108)  0.05
Ni (0.421, 0.779, 0.471)  0.34
Ni (0.579, 0.221, 0.529)  0.34
Ni (0.921, 0.221, 0.029)  0.34
Ni (0.079, 0.779, 0.971)  0.34
Ni (0.887, 0.509, 0.241)  0.26
Ni (0.113, 0.491, 0.759)  0.26
Ni (0.387, 0.491, 0.259)  0.26
Ni (0.613, 0.509, 0.741)  0.26
Pt (0.725, 0.892, 0.358)  0.05
Pt (0.275, 0.108, 0.642)  0.05
Pt (0.225, 0.108, 0.142)  0.05
Pt (0.775, 0.892, 0.858)  0.05

As for the magnetization: 0.671 μB per formula unit. The density of states at the Fermi level is 24.174 states/eV/cell. Its symmetry is No. 62. For the calculated density, the calculation gives 10.7 Mg/m³.


Short version: *iv* is the most stable of them.


*i*
## Si3NiPt (PBE-GGA)

Data for a geometry-optimized Si3NiPt structure.

Unit cell a=4.333 b=4.333 c=4.333 alpha=90.00 beta=90.00 gamma=90.00
Sites, in units of the cell vectors:
Ni (0.000, 0.000, 0.000)
Si (0.000, 0.500, 0.000)
Si (0.000, 0.000, 0.500)
Si (0.500, 0.000, 0.000)
Pt (0.500, 0.500, 0.500)

As for the magnetization: 0.000 μB per formula unit. The density of states at the Fermi level is 4.025 states/eV/cell. Its symmetry is No. 221. For the calculated density, the calculation gives 6.9 Mg/m³.


*ii*
## Si3NiPt (PBE-GGA)

Data for a geometry-optimized Si3NiPt structure.

Unit cell a=3.843 b=4.418 c=9.121 alpha=97.07 beta=90.00 gamma=90.00
Sites, in units of the cell vectors:
Si (0.750, 0.519, 0.301)
Si (0.250, 0.481, 0.699)
Si (0.750, 0.201, 0.972)
Si (0.250, 0.916, 0.573)
Si (0.250, 0.799, 0.028)
Si (0.750, 0.084, 0.427)
Ni (0.250, 0.832, 0.318)
Ni (0.750, 0.168, 0.682)
Pt (0.250, 0.322, 0.139)
Pt (0.750, 0.678, 0.861)

As for the magnetization: 0.000 μB per formula unit. The density of states at the Fermi level is 2.867 states/eV/cell. Its symmetry is No. 11. For the calculated density, the calculation gives 7.3 Mg/m³.


Short version: *ii* is the most stable of them.


*i*
## NiSnPt3 (PBE-GGA)

Data for a geometry-optimized NiSnPt3 structure.

Unit cell a=4.608 b=4.608 c=4.608 alpha=90.00 beta=90.00 gamma=90.00
Site moments in Bohr magnetons follow the coordinates.
Sites, in units of the cell vectors:
Ni (0.000, 0.000, 0.000)  0.32
Sn (0.500, 0.500, 0.500)  0.00
Pt (0.000, 0.500, 0.000)  0.09
Pt (0.000, 0.000, 0.500)  0.09
Pt (0.500, 0.000, 0.000)  0.03

As for the magnetization: 0.525 μB per formula unit. The density of states at the Fermi level is 8.769 states/eV/cell. Its symmetry is No. 221. For the calculated density, the calculation gives 12.9 Mg/m³.


*ii*
## NiSnPt3 (PBE-GGA)

Data for a geometry-optimized NiSnPt3 structure.

Unit cell a=4.013 b=5.624 c=13.900 alpha=90.00 beta=90.00 gamma=90.00
Sites, in units of the cell vectors:
Ni (0.250, 0.625, 0.547)
Ni (0.750, 0.375, 0.453)
Ni (0.750, 0.875, 0.047)
Ni (0.250, 0.125, 0.953)
Sn (0.250, 0.097, 0.353)
Sn (0.750, 0.903, 0.647)
Sn (0.750, 0.403, 0.853)
Sn (0.250, 0.597, 0.147)
Pt (0.750, 0.335, 0.256)
Pt (0.250, 0.651, 0.955)
Pt (0.250, 0.094, 0.141)
Pt (0.250, 0.594, 0.359)
Pt (0.250, 0.151, 0.545)
Pt (0.750, 0.406, 0.641)
Pt (0.250, 0.165, 0.756)
Pt (0.750, 0.906, 0.859)
Pt (0.750, 0.349, 0.045)
Pt (0.750, 0.835, 0.244)
Pt (0.750, 0.849, 0.455)
Pt (0.250, 0.665, 0.744)

As for the magnetization: 0.000 μB per formula unit. The density of states at the Fermi level is 17.785 states/eV/cell. Its symmetry is No. 62. For the calculated density, the calculation gives 16.1 Mg/m³.


Short version: *ii* is the most stable of them.


*i*
## NiSn4Pt (PBE-GGA)

Data for a geometry-optimized NiSn4Pt structure.

Unit cell a=6.695 b=5.506 c=8.561 alpha=109.52 beta=113.66 gamma=88.15
Sites, in units of the cell vectors:
Ni (0.189, 0.439, 0.379)
Ni (0.811, 0.561, 0.621)
Sn (0.127, 0.891, 0.876)
Sn (0.749, 0.486, 0.876)
Sn (0.868, 0.712, 0.388)
Sn (0.132, 0.288, 0.612)
Sn (0.480, 0.824, 0.612)
Sn (0.251, 0.514, 0.124)
Sn (0.520, 0.176, 0.388)
Sn (0.873, 0.109, 0.124)
Pt (0.455, 0.205, 0.910)
Pt (0.545, 0.795, 0.090)

As for the magnetization: 0.000 μB per formula unit. The density of states at the Fermi level is 4.763 states/eV/cell. Its symmetry is No. 15. For the calculated density, the calculation gives 8.9 Mg/m³.


*ii*
## NiSn4Pt (PBE-GGA)

Data for a geometry-optimized NiSn4Pt structure.

Unit cell a=5.510 b=6.925 c=6.949 alpha=90.00 beta=89.47 gamma=90.00
Sites, in units of the cell vectors:
Ni (0.500, 0.000, 0.500)
Ni (0.000, 0.500, 0.500)
Sn (0.928, 0.634, 0.159)
Sn (0.572, 0.134, 0.841)
Sn (0.409, 0.356, 0.358)
Sn (0.091, 0.856, 0.642)
Sn (0.072, 0.366, 0.841)
Sn (0.428, 0.866, 0.159)
Sn (0.591, 0.644, 0.642)
Sn (0.909, 0.144, 0.358)
Pt (0.000, 0.000, 0.000)
Pt (0.500, 0.500, 0.000)

As for the magnetization: 0.000 μB per formula unit. The density of states at the Fermi level is 3.966 states/eV/cell. Its symmetry is No. 14. For the calculated density, the calculation gives 9.1 Mg/m³.


Short version: *i* is the most stable of them.


*i*
## NiSn2Pt2 (PBE-GGA)

Data for a geometry-optimized NiSn2Pt2 structure.

Unit cell a=4.269 b=4.269 c=6.488 alpha=70.79 beta=70.79 gamma=90.00
Sites, in units of the cell vectors:
Ni (0.000, 0.000, 0.000)
Sn (0.750, 0.250, 0.500)
Sn (0.250, 0.750, 0.500)
Pt (0.389, 0.389, 0.223)
Pt (0.611, 0.611, 0.777)

As for the magnetization: 0.001 μB per formula unit. The density of states at the Fermi level is 4.327 states/eV/cell. Its symmetry is No. 139. For the calculated density, the calculation gives 10.9 Mg/m³.


*ii*
## NiSn2Pt2 (PBE-GGA)

Data for a geometry-optimized NiSn2Pt2 structure.

Unit cell a=7.065 b=7.065 c=3.679 alpha=90.00 beta=90.00 gamma=90.00
Sites, in units of the cell vectors:
Ni (0.000, 0.000, 0.000)
Ni (0.500, 0.500, 0.000)
Sn (0.165, 0.665, 0.500)
Sn (0.665, 0.835, 0.500)
Sn (0.835, 0.335, 0.500)
Sn (0.335, 0.165, 0.500)
Pt (0.358, 0.858, 0.000)
Pt (0.858, 0.642, 0.000)
Pt (0.642, 0.142, 0.000)
Pt (0.142, 0.358, 0.000)

As for the magnetization: 0.000 μB per formula unit. The density of states at the Fermi level is 5.185 states/eV/cell. Its symmetry is No. 127. For the calculated density, the calculation gives 12.4 Mg/m³.


Short version: *ii* is the most stable of them.


*i*
## SrNiPt3 (PBE-GGA)

Data for a geometry-optimized SrNiPt3 structure.

Unit cell a=4.706 b=4.706 c=4.706 alpha=90.00 beta=90.00 gamma=90.00
Site moments in Bohr magnetons follow the coordinates.
Sites, in units of the cell vectors:
Sr (0.500, 0.500, 0.500)  0.00
Pt (0.000, 0.500, 0.000)  0.17
Pt (0.000, 0.000, 0.500)  0.22
Pt (0.500, 0.000, 0.000)  0.06
Ni (0.000, 0.000, 0.000)  0.61

As for the magnetization: 1.080 μB per formula unit. The density of states at the Fermi level is 8.627 states/eV/cell. Its symmetry is No. 221. For the calculated density, the calculation gives 11.7 Mg/m³.


*ii*
## SrNiPt3 (PBE-GGA)

Data for a geometry-optimized SrNiPt3 structure.

Unit cell a=5.185 b=5.185 c=5.185 alpha=90.00 beta=90.00 gamma=90.00
Site moments in Bohr magnetons follow the coordinates.
Sites, in units of the cell vectors:
Sr (0.000, 0.000, 0.000)  -0.01
Pt (0.000, 0.500, 0.000)  -0.03
Pt (0.000, 0.000, 0.500)  -0.02
Pt (0.500, 0.000, 0.000)  0.01
Ni (0.500, 0.500, 0.500)  0.97

As for the magnetization: 0.867 μB per formula unit. The density of states at the Fermi level is 9.081 states/eV/cell. Its symmetry is No. 221. For the calculated density, the calculation gives 8.7 Mg/m³.


Short version: *i* is the most stable of them.


*i*
## SrNi3Pt (PBE-GGA)

Data for a geometry-optimized SrNi3Pt structure.

Unit cell a=4.560 b=4.560 c=4.560 alpha=90.00 beta=90.00 gamma=90.00
Sites, in units of the cell vectors:
Sr (0.000, 0.000, 0.000)
Pt (0.500, 0.500, 0.500)
Ni (0.000, 0.500, 0.000)
Ni (0.000, 0.000, 0.500)
Ni (0.500, 0.000, 0.000)

As for the magnetization: 0.032 μB per formula unit. The density of states at the Fermi level is 4.488 states/eV/cell. Its symmetry is No. 221. For the calculated density, the calculation gives 8.0 Mg/m³.


*ii*
## SrNi3Pt (PBE-GGA)

Data for a geometry-optimized SrNi3Pt structure.

Unit cell a=4.711 b=4.711 c=4.711 alpha=90.00 beta=90.00 gamma=90.00
Site moments in Bohr magnetons follow the coordinates.
Sites, in units of the cell vectors:
Sr (0.500, 0.500, 0.500)  -0.02
Pt (0.000, 0.000, 0.000)  0.45
Ni (0.000, 0.500, 0.000)  0.73
Ni (0.000, 0.000, 0.500)  1.07
Ni (0.500, 0.000, 0.000)  0.48

As for the magnetization: 2.646 μB per formula unit. The density of states at the Fermi level is 8.057 states/eV/cell. Its symmetry is No. 221. For the calculated density, the calculation gives 7.3 Mg/m³.


Short version: *ii* is the most stable of them.